Material: CdAsAu2
Method: DFT, GGA-PBEsol
State: relaxed

Summary:
- Magnetic moment: 0.00 Bohr magnetons per cell
- ΔE_f: 0.043 eV per atom
- Crystal system: tetragonal
- Uncorrected energy: -0.257 Ry/atom
- Relative energy among the computed polymorphs: 10 meV/atom
- Symmetry: P4mm (99)

```
CdAsAu2
1.0
-2.0306 1.4280 -2.6055
1.0125 -2.6344 -2.2330
-4.4130 -3.1486 1.7137
As Au Cd
1 2 1
direct
0.5000 0.5000 0.7884
0.0000 0.0000 0.9752
0.5000 0.5000 0.2558
0.0000 0.0000 0.4805
```

***

Material: BeTc2Os
Method: DFT, GGA-PBEsol
State: relaxed

Summary:
- Magnetic moment: 0.00 Bohr magnetons per cell
- ΔE_f: 0.102 eV per atom
- Crystal system: trigonal
- Uncorrected energy: -0.705 Ry/atom
- Symmetry: R3m (160)

```
BeTc2Os
1.0
-2.0059 -0.2984 1.7735
-1.6357 -2.1344 -0.1630
3.7864 -5.0206 5.4839
Be Os Tc
1 1 2
direct
0.5009 0.5009 0.4972
0.2446 0.2446 0.2663
0.0003 0.0003 0.9992
0.7542 0.7542 0.7375
```